#w
# Nd2ErTm2 | the Alexandria database | PBE-GGA | relaxed
data_Nd2ErTm2
_chemical_formula_sum 'Nd8 Er4 Tm8'
_symmetry_space_group_name_H-M 'I m m a'
_symmetry_Int_Tables_number 74
_symmetry_space_group_name_Hall '-I 2b 2'
_cell_length_a 3.646
_cell_length_b 5.675
_cell_length_c 31.506
_cell_angle_alpha 90.00
_cell_angle_beta 90.00
_cell_angle_gamma 90.00
loop_
_atom_site_label
_atom_site_fract_x
_atom_site_fract_y
_atom_site_fract_z
Nd1 0.000 0.250 0.023
Nd2 0.000 0.250 0.123
Er1 0.000 0.250 0.582
Tm1 0.000 0.250 0.290
Tm2 0.000 0.250 0.802
# Density of states at the Fermi level   6.6 states/eV/f.u.
# Magnetic moment   0.0 Bohr magnetons per cell

***

#x
# Nd2ErTm2 | the Alexandria database | PBE-GGA | relaxed
data_Nd2ErTm2
_chemical_formula_sum 'Nd4 Er2 Tm4'
_symmetry_space_group_name_H-M 'C 1 2/m 1'
_symmetry_Int_Tables_number 12
_cell_length_a 6.203
_cell_length_b 3.585
_cell_length_c 14.596
_cell_angle_alpha 90.00
_cell_angle_beta 98.24
_cell_angle_gamma 90.00
loop_
_symmetry_equiv_pos_as_xyz
'x,y,z'
'-x,-y,-z'
'-x,y,-z'
'x,-y,z'
'x+1/2,y+1/2,z'
'-x+1/2,-y+1/2,-z'
'-x+1/2,y+1/2,-z'
'x+1/2,-y+1/2,z'
loop_
_atom_site_label
_atom_site_fract_x
_atom_site_fract_y
_atom_site_fract_z
Nd1 0.130 0.000 0.393
Er1 0.000 0.000 0.000
Tm1 0.102 0.500 0.807
# Density of states at the Fermi level   6.5 states/eV/f.u.
# Magnetic moment   0.0 Bohr magnetons per cell

***

Relative energy of each structure, in meV/atom: #w 123; #x 0.

***

#w
# Nd2Er3Tm3 | the Alexandria database | PBE-GGA | relaxed
data_Nd2Er3Tm3
_chemical_formula_sum 'Nd4 Er6 Tm6'
_symmetry_space_group_name_H-M 'I m m m'
_symmetry_Int_Tables_number 71
_symmetry_space_group_name_Hall '-I 2 2'
_cell_length_a 5.022
_cell_length_b 5.022
_cell_length_c 19.966
_cell_angle_alpha 90.00
_cell_angle_beta 90.00
_cell_angle_gamma 90.00
loop_
_atom_site_label
_atom_site_fract_x
_atom_site_fract_y
_atom_site_fract_z
Nd1 0.000 0.000 0.250
Er1 0.000 0.000 0.000
Er2 0.000 0.500 0.122
Tm1 0.000 0.000 0.500
Tm2 0.000 0.500 0.378
# Density of states at the Fermi level   11.8 states/eV/f.u.
# Magnetic moment   0.0 Bohr magnetons per cell

***

#x
# Nd2Er3Tm3 | the Alexandria database | PBE-GGA | relaxed
data_Nd2Er3Tm3
_chemical_formula_sum 'Nd6 Er9 Tm9'
_symmetry_space_group_name_H-M 'R 3 2'
_symmetry_Int_Tables_number 155
_symmetry_space_group_name_Hall 'R 3 2"'
_cell_length_a 8.9951
_cell_length_b 8.9951
_cell_length_c 11.0317
_cell_angle_alpha 90.00
_cell_angle_beta 90.00
_cell_angle_gamma 120.00
loop_
_atom_site_label
_atom_site_fract_x
_atom_site_fract_y
_atom_site_fract_z
Nd1 0.0000 0.0000 0.2504
Er1 0.0000 0.7492 0.0000
Tm1 0.0000 0.2490 0.5000
# Density of states at the Fermi level   18.6 states/eV/f.u.
# Magnetic moment   0.0 Bohr magnetons per cell

***

Relative energy of each structure, in meV/atom: #w 0; #x 205.

***

#w
# NdEr3Tm3 | the Alexandria database | PBE-GGA | relaxed
data_NdEr3Tm3
_chemical_formula_sum 'Nd8 Er24 Tm24'
_symmetry_space_group_name_H-M 'C 1 m 1'
_symmetry_Int_Tables_number 8
_cell_length_a 15.962
_cell_length_b 16.604
_cell_length_c 6.843
_cell_angle_alpha 90.00
_cell_angle_beta 101.62
_cell_angle_gamma 90.00
loop_
_symmetry_equiv_pos_as_xyz
'x,y,z'
'x,-y,z'
'x+1/2,y+1/2,z'
'x+1/2,-y+1/2,z'
loop_
_atom_site_label
_atom_site_fract_x
_atom_site_fract_y
_atom_site_fract_z
Nd1 0.000 0.000 0.000
Nd2 0.146 0.156 0.856
Nd3 0.304 0.500 0.677
Er1 0.147 0.396 0.356
Er2 0.158 0.195 0.374
Er3 0.298 0.500 0.172
Er4 0.302 0.296 0.172
Er5 0.338 0.104 0.721
Er6 0.483 0.205 0.529
Er7 0.486 0.000 0.530
Tm1 0.141 0.389 0.851
Tm2 0.164 0.000 0.451
Tm3 0.316 0.301 0.678
Tm4 0.327 0.100 0.220
Tm5 0.472 0.401 0.457
Tm6 0.486 0.226 0.037
Tm7 0.491 0.000 0.038
# Density of states at the Fermi level   9.2 states/eV/f.u.
# Magnetic moment   0.0 Bohr magnetons per cell

***

#x
# NdEr3Tm3 | the Alexandria database | PBE-GGA | relaxed
data_NdEr3Tm3
_chemical_formula_sum 'Nd2 Er6 Tm6'
_symmetry_space_group_name_H-M 'P 63/m'
_symmetry_Int_Tables_number 176
_symmetry_space_group_name_Hall '-P 6c'
_cell_length_a 9.4926
_cell_length_b 9.4926
_cell_length_c 5.6058
_cell_angle_alpha 90.00
_cell_angle_beta 90.00
_cell_angle_gamma 120.00
loop_
_atom_site_label
_atom_site_fract_x
_atom_site_fract_y
_atom_site_fract_z
Nd1 0.3333 0.6667 0.2500
Er1 0.0482 0.8118 0.2500
Tm1 0.0958 0.6194 0.7500
# Density of states at the Fermi level   13.7 states/eV/f.u.
# Magnetic moment   0.0 Bohr magnetons per cell

***

Relative energy of each structure, in meV/atom: #w 116; #x 0.

***

#w
# Nd5Er4Tm | the Alexandria database | PBE-GGA | relaxed
data_Nd5Er4Tm
_chemical_formula_sum 'Nd10 Er8 Tm2'
_symmetry_space_group_name_H-M 'C 1 2/m 1'
_symmetry_Int_Tables_number 12
_cell_length_a 18.177
_cell_length_b 3.585
_cell_length_c 10.464
_cell_angle_alpha 90.00
_cell_angle_beta 96.22
_cell_angle_gamma 90.00
loop_
_symmetry_equiv_pos_as_xyz
'x,y,z'
'-x,-y,-z'
'-x,y,-z'
'x,-y,z'
'x+1/2,y+1/2,z'
'-x+1/2,-y+1/2,-z'
'-x+1/2,y+1/2,-z'
'x+1/2,-y+1/2,z'
loop_
_atom_site_label
_atom_site_fract_x
_atom_site_fract_y
_atom_site_fract_z
Nd1 0.000 0.000 0.000
Nd2 0.141 0.500 0.728
Nd3 0.189 0.500 0.099
Er1 0.046 0.500 0.265
Er2 0.182 0.000 0.415
Tm1 0.000 0.000 0.500
# Density of states at the Fermi level   15.2 states/eV/f.u.
# Magnetic moment   0.0 Bohr magnetons per cell

***

#x
# Nd5Er4Tm | the Alexandria database | PBE-GGA | relaxed
data_Nd5Er4Tm
_chemical_formula_sum 'Nd5 Er4 Tm1'
_symmetry_space_group_name_H-M 'P -1'
_symmetry_Int_Tables_number 2
_cell_length_a 3.594
_cell_length_b 9.477
_cell_length_c 10.175
_cell_angle_alpha 74.22
_cell_angle_beta 89.95
_cell_angle_gamma 79.08
loop_
_symmetry_equiv_pos_as_xyz
'x,y,z'
'-x,-y,-z'
loop_
_atom_site_label
_atom_site_fract_x
_atom_site_fract_y
_atom_site_fract_z
Nd1 0.000 0.000 0.000
Nd2 0.200 0.600 0.101
Nd3 0.400 0.199 0.694
Er1 0.199 0.601 0.600
Er2 0.400 0.201 0.205
Tm1 0.000 0.000 0.500
# Density of states at the Fermi level   12.7 states/eV/f.u.
# Magnetic moment   0.0 Bohr magnetons per cell

***

Relative energy of each structure, in meV/atom: #w 122; #x 0.

***

#w
# NdEr12Tm6 | the Alexandria database | PBE-GGA | relaxed
data_NdEr12Tm6
_chemical_formula_sum 'Nd3 Er36 Tm18'
_symmetry_space_group_name_H-M 'R -3 m'
_symmetry_Int_Tables_number 166
_symmetry_space_group_name_Hall '-R 3 2"'
_cell_length_a 14.7978
_cell_length_b 14.7978
_cell_length_c 10.0659
_cell_angle_alpha 90.00
_cell_angle_beta 90.00
_cell_angle_gamma 120.00
loop_
_atom_site_label
_atom_site_fract_x
_atom_site_fract_y
_atom_site_fract_z
Nd1 0.0000 0.0000 0.0000
Er1 0.0000 0.3885 0.5000
Er2 0.0742 0.1484 0.2891
Tm1 0.0551 0.5276 0.2175
# Density of states at the Fermi level   25.4 states/eV/f.u.
# Magnetic moment   0.1 Bohr magnetons per cell

***

#x
# NdEr12Tm6 | the Alexandria database | PBE-GGA | relaxed
data_NdEr12Tm6
_chemical_formula_sum 'Nd3 Er36 Tm18'
_symmetry_space_group_name_H-M 'R -3'
_symmetry_Int_Tables_number 148
_symmetry_space_group_name_Hall '-R 3'
_cell_length_a 11.7316
_cell_length_b 11.7316
_cell_length_c 15.0671
_cell_angle_alpha 90.00
_cell_angle_beta 90.00
_cell_angle_gamma 120.00
loop_
_atom_site_label
_atom_site_fract_x
_atom_site_fract_y
_atom_site_fract_z
Nd1 0.0000 0.0000 0.0000
Er1 0.0198 0.8357 0.1917
Er2 0.0399 0.8511 0.4156
Tm1 0.0080 0.4221 0.6779
# Density of states at the Fermi level   32.0 states/eV/f.u.
# Magnetic moment   0.0 Bohr magnetons per cell

***

Relative energy of each structure, in meV/atom: #w 277; #x 0.

***

#w
# Nd3Er6Tm | the Alexandria database | PBE-GGA | relaxed
data_Nd3Er6Tm
_chemical_formula_sum 'Nd12 Er24 Tm4'
_symmetry_space_group_name_H-M 'C m c 21'
_symmetry_Int_Tables_number 36
_cell_length_a 10.952
_cell_length_b 18.837
_cell_length_c 6.282
_cell_angle_alpha 90.00
_cell_angle_beta 90.00
_cell_angle_gamma 90.00
loop_
_symmetry_equiv_pos_as_xyz
'x,y,z'
'-x,-y,z+1/2'
'-x,y,z'
'x,-y,z+1/2'
'x+1/2,y+1/2,z'
'-x+1/2,-y+1/2,z+1/2'
'-x+1/2,y+1/2,z'
'x+1/2,-y+1/2,z+1/2'
loop_
_atom_site_label
_atom_site_fract_x
_atom_site_fract_y
_atom_site_fract_z
Nd1 0.000 0.111 0.000
Nd2 0.174 0.388 0.605
Er1 0.000 0.226 0.422
Er2 0.000 0.458 0.179
Er3 0.166 0.047 0.523
Er4 0.243 0.210 0.698
Tm1 0.000 0.300 0.933
# Density of states at the Fermi level   14.0 states/eV/f.u.
# Magnetic moment   0.0 Bohr magnetons per cell

***

#x
# Nd3Er6Tm | the Alexandria database | PBE-GGA | relaxed
data_Nd3Er6Tm
_chemical_formula_sum 'Nd3 Er6 Tm1'
_symmetry_space_group_name_H-M 'P -1'
_symmetry_Int_Tables_number 2
_cell_length_a 6.505
_cell_length_b 6.516
_cell_length_c 9.508
_cell_angle_alpha 89.72
_cell_angle_beta 70.09
_cell_angle_gamma 60.19
loop_
_symmetry_equiv_pos_as_xyz
'x,y,z'
'-x,-y,-z'
loop_
_atom_site_label
_atom_site_fract_x
_atom_site_fract_y
_atom_site_fract_z
Nd1 0.000 0.000 0.000
Nd2 0.300 0.557 0.689
Er1 0.124 0.866 0.315
Er2 0.305 0.349 0.052
Er3 0.452 0.988 0.685
Tm1 0.000 0.500 0.500
# Density of states at the Fermi level   11.5 states/eV/f.u.
# Magnetic moment   0.0 Bohr magnetons per cell

***

Relative energy of each structure, in meV/atom: #w 0; #x 7.